Zr2TiPt | PBE | relaxed

Its formation energy is -0.5193 eV per atom. As for the energy above the lowest structure with this stoichiometry: 0.00 eV per formula unit. The magnetic moment comes out at 0.00 μB per formula unit. The total DFT energy (no corrections) is -8.277 eV/atom.

Geometry as CIF:
```
data_Zr2TiPt
_symmetry_space_group_name_H-M 'P 4/m m m'
_symmetry_Int_Tables_number 123
_symmetry_space_group_name_Hall '-P 4 2'
_cell_length_a 3.3522
_cell_length_b 3.3522
_cell_length_c 6.8785
_cell_angle_alpha 90.00
_cell_angle_beta 90.00
_cell_angle_gamma 90.00
loop_
_atom_site_label
_atom_site_fract_x
_atom_site_fract_y
_atom_site_fract_z
_atom_site_occupancy
Zr1 0.0000 0.0000 0.2425 1
Ti1 0.5000 0.5000 0.5000 1
Pt1 0.5000 0.5000 0.0000 1
```



SrTiS2 | PBE | relaxed

As for the energy above the lowest structure with this stoichiometry: 0.00 eV per formula unit. Its formation energy without anion corrections is -1326.0 meV/atom. The magnetic moment comes out at 2.00 μB per formula unit. The total DFT energy (no corrections) is -5.784 eV/atom.

Geometry as CIF:
```
data_SrTiS2
_symmetry_space_group_name_H-M 'I -4 2 d'
_symmetry_Int_Tables_number 122
_symmetry_space_group_name_Hall 'I -4 2bw'
_cell_length_a 6.0844
_cell_length_b 6.0844
_cell_length_c 12.0930
_cell_angle_alpha 90.00
_cell_angle_beta 90.00
_cell_angle_gamma 90.00
loop_
_atom_site_label
_atom_site_fract_x
_atom_site_fract_y
_atom_site_fract_z
_atom_site_occupancy
Sr1 0.0000 0.0000 0.0000 1
Ti1 0.0000 0.0000 0.5000 1
S1 0.1811 0.2500 0.6250 1
```



Nd6HoTl2 | PBE | relaxed

Its formation energy is -0.1511 eV per atom. As for the energy above the lowest structure with this stoichiometry: 0.00 eV per formula unit. The magnetic moment comes out at 0.00 μB per formula unit. The total DFT energy (no corrections) is -4.364 eV/atom.

Geometry as CIF:
```
data_Nd6HoTl2
_symmetry_space_group_name_H-M 'C 1 2/m 1'
_symmetry_Int_Tables_number 12
_cell_length_a 13.1769
_cell_length_b 3.8357
_cell_length_c 12.2071
_cell_angle_alpha 90.00
_cell_angle_beta 107.97
_cell_angle_gamma 90.00
loop_
_symmetry_equiv_pos_as_xyz
'x,y,z'
'-x,-y,-z'
'-x,y,-z'
'x,-y,z'
'x+1/2,y+1/2,z'
'-x+1/2,-y+1/2,-z'
'-x+1/2,y+1/2,-z'
'x+1/2,-y+1/2,z'
loop_
_atom_site_label
_atom_site_fract_x
_atom_site_fract_y
_atom_site_fract_z
_atom_site_occupancy
Nd1 0.0170 0.0000 0.3432 1
Nd2 0.1820 0.5000 0.8766 1
Nd3 0.1941 0.5000 0.5921 1
Ho1 0.0000 0.0000 0.0000 1
Tl1 0.1361 0.5000 0.1945 1
```



SrIrPt2 | PBE | relaxed

Its formation energy is 0.0019 eV per atom. As for the energy above the lowest structure with this stoichiometry: 0.39 eV per formula unit. The magnetic moment comes out at 0.00 μB per formula unit. The total DFT energy (no corrections) is -5.654 eV/atom.

Geometry as CIF:
```
data_SrIrPt2
_symmetry_space_group_name_H-M 'I m m 2'
_symmetry_Int_Tables_number 44
_cell_length_a 2.8779
_cell_length_b 5.0019
_cell_length_c 10.4013
_cell_angle_alpha 90.00
_cell_angle_beta 90.00
_cell_angle_gamma 90.00
loop_
_symmetry_equiv_pos_as_xyz
'x,y,z'
'-x,-y,z'
'-x,y,z'
'x,-y,z'
'x+1/2,y+1/2,z+1/2'
'-x+1/2,-y+1/2,z+1/2'
'-x+1/2,y+1/2,z+1/2'
'x+1/2,-y+1/2,z+1/2'
loop_
_atom_site_label
_atom_site_fract_x
_atom_site_fract_y
_atom_site_fract_z
_atom_site_occupancy
Sr1 0.0000 0.0000 0.0000 1
Ir1 0.0000 0.5000 0.7728 1
Pt1 0.0000 0.0000 0.4935 1
Pt2 0.0000 0.5000 0.2264 1
```



PuTiNb2 | PBE | relaxed

Its formation energy is 0.1209 eV per atom. As for the energy above the lowest structure with this stoichiometry: 0.00 eV per formula unit. The magnetic moment comes out at 3.58 μB per formula unit. The total DFT energy (no corrections) is -10.471 eV/atom.

Geometry as CIF:
```
data_PuTiNb2
_symmetry_space_group_name_H-M 'F m -3 m'
_symmetry_Int_Tables_number 225
_symmetry_space_group_name_Hall '-F 4 2 3'
_cell_length_a 6.6969
_cell_length_b 6.6969
_cell_length_c 6.6969
_cell_angle_alpha 90.00
_cell_angle_beta 90.00
_cell_angle_gamma 90.00
loop_
_atom_site_label
_atom_site_fract_x
_atom_site_fract_y
_atom_site_fract_z
_atom_site_occupancy
Pu1 0.0000 0.0000 0.0000 1
Ti1 0.0000 0.0000 0.5000 1
Nb1 0.2500 0.2500 0.2500 1
```



NaNi2Pb2 | PBE | relaxed

Its formation energy is 0.1224 eV per atom. As for the energy above the lowest structure with this stoichiometry: 0.22 eV per formula unit. The magnetic moment comes out at 0.00 μB per formula unit. The total DFT energy (no corrections) is -3.937 eV/atom.

Geometry as CIF:
```
data_NaNi2Pb2
_symmetry_space_group_name_H-M 'P 4/m b m'
_symmetry_Int_Tables_number 127
_symmetry_space_group_name_Hall '-P 4 2ab'
_cell_length_a 7.6609
_cell_length_b 7.6609
_cell_length_c 3.3541
_cell_angle_alpha 90.00
_cell_angle_beta 90.00
_cell_angle_gamma 90.00
loop_
_atom_site_label
_atom_site_fract_x
_atom_site_fract_y
_atom_site_fract_z
_atom_site_occupancy
Na1 0.0000 0.0000 0.0000 1
Ni1 0.1222 0.3778 0.0000 1
Pb1 0.1671 0.6671 0.5000 1
```